Entry 1:
This record from Alexandria via LeMat-Bulk describes crystalline MgVOsO6 at its relaxed geometry. The functional is PBE with a Hubbard U.

## Properties
- density (g/cm3) = 6.0
- DOS(E_F) (states/eV/cell) = 0.20
- VASP energy (eV per atom) = -7.184

Structure (CIF):
```
data_MgVOsO6
_chemical_formula_sum 'Mg2 V2 Os2 O12'
_space_group_name_H-M_alt 'P -3 1 c'
_space_group_IT_number 163
_space_group_name_Hall '-P 3 2c'
_cell_length_a 5.0171
_cell_length_b 5.0171
_cell_length_c 9.1579
_cell_angle_alpha 90.00
_cell_angle_beta 90.00
_cell_angle_gamma 120.00
loop_
_atom_site_label
_atom_site_fract_x
_atom_site_fract_y
_atom_site_fract_z
Mg1 0.0000 0.0000 0.0000
V1 0.3333 0.6667 0.2500
Os1 0.3333 0.6667 0.7500
O1 0.0079 0.3552 0.1347
```

=====

Entry 2:
This record from Alexandria via LeMat-Bulk describes crystalline Mg2VOsO6 at its relaxed geometry. The functional is PBE with a Hubbard U.

## Properties
- density (g/cm3) = 5.1
- DOS(E_F) (states/eV/cell) = 0.52
- VASP energy (eV per atom) = -6.827

Structure (CIF):
```
data_Mg2VOsO6
_chemical_formula_sum 'Mg2 V1 Os1 O6'
_space_group_name_H-M_alt 'P 4 m m'
_space_group_IT_number 99
_cell_length_a 5.721
_cell_length_b 5.721
_cell_length_c 3.812
_cell_angle_alpha 90.00
_cell_angle_beta 90.00
_cell_angle_gamma 90.00
loop_
_space_group_symop_operation_xyz
'x,y,z'
'-y,x,z'
'-x,-y,z'
'y,-x,z'
'-x,y,z'
'y,x,z'
'x,-y,z'
'-y,-x,z'
loop_
_atom_site_label
_atom_site_fract_x
_atom_site_fract_y
_atom_site_fract_z
Mg1 0.000 0.500 0.000
V1 0.000 0.000 0.823
Os1 0.500 0.500 0.883
O1 0.000 0.000 0.377
O2 0.245 0.245 0.906
O3 0.500 0.500 0.385
```